(1)
ScGe | GGA-PBE | optimized geometry

Lattice parameters (Å, degrees): 7.549 7.549 7.549 90.00 90.00 90.00
Element x y z (fractional)
Sc 0.250 0.000 0.500
Sc 0.750 0.000 0.500
Sc 0.000 0.500 0.250
Sc 0.000 0.500 0.750
Sc 0.500 0.250 0.000
Sc 0.500 0.750 0.000
Ge 0.250 0.500 0.000
Ge 0.750 0.500 0.000
Ge 0.500 0.000 0.250
Ge 0.500 0.000 0.750
Ge 0.000 0.250 0.500
Ge 0.000 0.750 0.500

Computed properties:
DFT formation energy, eV per atom: 0.2372
Symmetry: Pm-3n, No. 223

---

(2)
MgAgBiBr6 | GGA-PBE | optimized geometry

Lattice parameters (Å, degrees): 7.057 7.057 12.928 90.00 90.00 120.00
Element x y z (fractional)
Mg 0.667 0.333 0.250
Mg 0.333 0.667 0.750
Ag 0.000 0.000 0.000
Ag 0.000 0.000 0.500
Bi 0.333 0.667 0.250
Bi 0.667 0.333 0.750
Br 0.664 0.644 0.127
Br 0.980 0.336 0.127
Br 0.336 0.980 0.627
Br 0.020 0.664 0.873
Br 0.356 0.336 0.373
Br 0.980 0.644 0.373
Br 0.644 0.980 0.873
Br 0.664 0.020 0.373
Br 0.020 0.356 0.627
Br 0.356 0.020 0.127
Br 0.644 0.664 0.627
Br 0.336 0.356 0.873

Computed properties:
Symmetry: P-31c, No. 163
Raw total energy, eV/atom: -2.904

---

(3)
SrAlGe2 | GGA-PBE | optimized geometry

Lattice parameters (Å, degrees): 4.463 4.463 6.097 68.53 68.53 60.00
Element x y z (fractional)
Sr 0.500 0.500 0.500
Ge 0.288 0.288 0.137
Ge 0.712 0.712 0.863
Al 0.000 0.000 0.000

Computed properties:
DFT formation energy, eV per atom: -0.2779
Symmetry: R-3m, No. 166

---

(4)
PrNdAsI | GGA-PBE | optimized geometry

Lattice parameters (Å, degrees): 4.266 4.268 8.231 90.01 105.00 120.01
Element x y z (fractional)
Pr 0.501 0.149 0.665
Nd 0.103 0.950 0.068
As 0.307 0.551 0.873
I 0.966 0.381 0.363

Computed properties:
Symmetry: R3m, No. 160
Raw total energy, eV/atom: -5.249

---

(5)
AcPm2Er4 | GGA-PBE | optimized geometry

Lattice parameters (Å, degrees): 9.698 8.565 9.704 136.31 119.59 76.46
Element x y z (fractional)
Ac 0.948 0.586 0.373
Ac 0.088 0.092 0.983
Pm 0.668 0.585 0.947
Pm 0.789 0.103 0.551
Pm 0.513 0.097 0.126
Pm 0.247 0.575 0.805
Er 0.933 0.082 0.264
Er 0.522 0.587 0.235
Er 0.812 0.595 0.672
Er 0.641 0.077 0.819
Er 0.365 0.085 0.406
Er 0.226 0.088 0.687
Er 0.393 0.601 0.535
Er 0.107 0.597 0.096

Computed properties:
DFT formation energy, eV per atom: 0.0366
Symmetry: P1, No. 1
Energy relative to the lowest polymorph listed for this composition, eV per atom: 0.000

---

(6)
LiCu6Ni3 | GGA-PBE | optimized geometry

Lattice parameters (Å, degrees): 2.492 9.318 10.320 100.65 90.00 90.00
Element x y z (fractional)
Li 0.750 0.042 0.718
Li 0.250 0.958 0.282
Cu 0.750 0.512 0.693
Cu 0.250 0.488 0.307
Cu 0.750 0.806 0.076
Cu 0.250 0.194 0.924
Cu 0.750 0.341 0.119
Cu 0.250 0.659 0.881
Cu 0.750 0.721 0.294
Cu 0.250 0.279 0.706
Cu 0.750 0.134 0.494
Cu 0.250 0.866 0.506
Cu 0.750 0.785 0.712
Cu 0.250 0.215 0.288
Ni 0.750 0.426 0.905
Ni 0.250 0.574 0.095
Ni 0.750 0.620 0.499
Ni 0.250 0.380 0.501
Ni 0.750 0.073 0.091
Ni 0.250 0.927 0.909

Computed properties:
DFT formation energy, eV per atom: 0.0253
Symmetry: P2_1/m, No. 11

---

(7)
Dy2Ho3Cd6 | GGA-PBE | optimized geometry

Lattice parameters (Å, degrees): 4.953 4.953 14.280 99.99 99.99 90.00
Site moments in Bohr magnetons follow the coordinates.
Element x y z (fractional)
Dy 0.366 0.366 0.731  0.08
Dy 0.634 0.634 0.269  0.08
Ho 0.000 0.000 0.000  -0.01
Ho 0.863 0.863 0.726  0.08
Ho 0.137 0.137 0.274  0.08
Cd 0.065 0.565 0.130  0.00
Cd 0.565 0.065 0.130  0.00
Cd 0.935 0.435 0.870  0.00
Cd 0.435 0.935 0.870  0.00
Cd 0.749 0.749 0.497  0.00
Cd 0.251 0.251 0.503  0.00

Computed properties:
DFT formation energy, eV per atom: 0.1114
Symmetry: I4/mmm, No. 139

---

(8)
Ba2CaRh | GGA-PBE | optimized geometry

Lattice parameters (Å, degrees): 5.683 5.683 5.683 120.06 120.06 89.90
Element x y z (fractional)
Ca 0.500 0.500 0.000
Rh 0.750 0.250 0.500
Ba 0.000 0.000 0.000
Ba 0.250 0.750 0.500

Computed properties:
DFT formation energy, eV per atom: 0.1885
Symmetry: I-4m2, No. 119
Energy relative to the lowest polymorph listed for this composition, eV per atom: 0.403

---

(9)
MnHg2 | GGA-PBE | optimized geometry

Lattice parameters (Å, degrees): 5.715 5.715 5.715 57.11 57.11 57.11
Site moments in Bohr magnetons follow the coordinates.
Element x y z (fractional)
Mn 0.833 0.833 0.833  3.89
Mn 0.167 0.167 0.167  3.89
Hg 0.324 0.000 0.676  -0.04
Hg 0.676 0.324 0.000  -0.04
Hg 0.000 0.676 0.324  -0.04
Hg 0.500 0.500 0.500  -0.03

Computed properties:
DFT formation energy, eV per atom: 0.3678
Symmetry: R32, No. 155

---

(10)
AsPO3 | GGA-PBE | optimized geometry

Lattice parameters (Å, degrees): 3.666 3.666 3.666 90.00 90.00 90.00
Element x y z (fractional)
P 0.000 0.000 0.000
As 0.500 0.500 0.500
O 0.000 0.500 0.000
O 0.000 0.000 0.500
O 0.500 0.000 0.000

Computed properties:
Symmetry: Pm-3m, No. 221
Raw total energy, eV/atom: -5.387

---

(11)
ZnAgHg2Pt | GGA-PBE | optimized geometry

Lattice parameters (Å, degrees): 5.259 4.818 5.259 90.00 90.00 90.00
Element x y z (fractional)
Ag 0.500 0.500 0.500
Zn 0.000 0.500 0.000
Hg 0.000 0.000 0.500
Hg 0.500 0.000 0.000
Pt 0.000 0.000 0.000

Computed properties:
DFT formation energy, eV per atom: 0.2337
Symmetry: P4/mmm, No. 123

---

(12)
AcMg2Sb | GGA-PBE | optimized geometry

Lattice parameters (Å, degrees): 5.295 4.746 4.746 90.00 90.00 90.00
Element x y z (fractional)
Sb 0.500 0.000 0.000
Ac 0.500 0.500 0.500
Mg 0.000 0.000 0.500
Mg 0.000 0.500 0.000

Computed properties:
Symmetry: P4/mmm, No. 123
Raw total energy, eV/atom: -3.268

---

(13)
Pm6Mg2Sc | GGA-PBE | optimized geometry

Lattice parameters (Å, degrees): 5.380 5.380 11.828 103.15 103.15 90.00
Element x y z (fractional)
Pm 0.918 0.418 0.837
Pm 0.418 0.918 0.837
Pm 0.082 0.582 0.163
Pm 0.750 0.250 0.500
Pm 0.250 0.750 0.500
Pm 0.582 0.082 0.163
Mg 0.333 0.333 0.666
Mg 0.667 0.667 0.334
Sc 0.000 0.000 0.000

Computed properties:
DFT formation energy, eV per atom: 0.4592
Symmetry: I4/mmm, No. 139

---

(14)
Ho4MgCo2 | GGA-PBE | optimized geometry

Lattice parameters (Å, degrees): 7.015 6.988 8.882 126.45 104.25 86.68
Element x y z (fractional)
Ho 0.012 0.157 0.406
Ho 0.341 0.705 0.215
Ho 0.855 0.750 0.880
Ho 0.793 0.983 0.593
Ho 0.534 0.324 0.405
Ho 0.358 0.125 0.750
Ho 0.354 0.674 0.839
Ho 0.786 0.468 0.084
Mg 0.118 0.624 0.456
Mg 0.175 0.184 0.050
Co 0.622 0.366 0.732
Co 0.665 0.894 0.188
Co 0.580 0.102 0.051
Co 0.057 0.395 0.851

Computed properties:
DFT formation energy, eV per atom: -0.0511
Symmetry: P1, No. 1

---

(15)
Ca2YCu | GGA-PBE | optimized geometry

Lattice parameters (Å, degrees): 6.719 6.719 6.719 148.37 129.82 60.54
Element x y z (fractional)
Y 0.308 0.808 0.500
Ca 0.002 0.002 0.000
Ca 0.697 0.197 0.500
Cu 0.493 0.493 0.000

Computed properties:
DFT formation energy, eV per atom: 0.0410
Symmetry: Imm2, No. 44
Energy relative to the lowest polymorph listed for this composition, eV per atom: 0.091

---

(16)
Li2CoAg | GGA-PBE | optimized geometry

Lattice parameters (Å, degrees): 9.418 9.418 9.418 16.70 16.70 16.70
Site moments in Bohr magnetons follow the coordinates.
Element x y z (fractional)
Ag 0.497 0.497 0.497  -0.02
Co 0.749 0.749 0.749  1.53
Li 0.007 0.007 0.007  -0.03
Li 0.247 0.247 0.247  0.00

Computed properties:
DFT formation energy, eV per atom: 0.2017
Symmetry: R3m, No. 160

---

(17)
Hg3PtCl | GGA-PBE | optimized geometry

Lattice parameters (Å, degrees): 5.339 5.339 5.339 90.00 90.00 90.00
Element x y z (fractional)
Hg 0.000 0.500 0.000
Hg 0.000 0.000 0.500
Hg 0.500 0.000 0.000
Pt 0.500 0.500 0.500
Cl 0.000 0.000 0.000

Computed properties:
Symmetry: Pm-3m, No. 221
Energy relative to the lowest polymorph listed for this composition, eV per atom: 1.023

---

(18)
CsTiCoCl6 | GGA-PBE | optimized geometry

Lattice parameters (Å, degrees): 6.438 6.438 7.761 89.90 90.11 60.03
Site moments in Bohr magnetons follow the coordinates.
Element x y z (fractional)
Cs 0.000 0.000 0.000  0.00
Ti 0.333 0.333 0.500  0.42
Co 0.667 0.667 0.500  2.27
Cl 0.006 0.378 0.322  0.03
Cl 0.378 0.006 0.678  0.03
Cl 0.612 0.381 0.679  0.03
Cl 0.006 0.616 0.677  0.04
Cl 0.381 0.612 0.321  0.03
Cl 0.616 0.006 0.323  0.04

Computed properties:
Symmetry: C2, No. 5
Raw total energy, eV/atom: -4.346

---

(19)
CsHf3Pd | GGA-PBE | optimized geometry

Lattice parameters (Å, degrees): 5.179 5.179 5.179 90.00 90.00 90.00
Element x y z (fractional)
Cs 0.000 0.000 0.000
Hf 0.000 0.500 0.000
Hf 0.000 0.000 0.500
Hf 0.500 0.000 0.000
Pd 0.500 0.500 0.500

Computed properties:
DFT formation energy, eV per atom: 2.3593
Symmetry: Pm-3m, No. 221
Energy relative to the lowest polymorph listed for this composition, eV per atom: 1.543

---

(20)
AcPrDyEr | GGA-PBE | optimized geometry

Lattice parameters (Å, degrees): 5.871 5.871 5.871 60.00 60.00 60.00
Element x y z (fractional)
Pr 0.250 0.250 0.250
Ac 0.750 0.750 0.750
Dy 0.000 0.000 0.000
Er 0.500 0.500 0.500

Computed properties:
DFT formation energy, eV per atom: 0.1068
Symmetry: F-43m, No. 216
Energy relative to the lowest polymorph listed for this composition, eV per atom: 0.057

---

Listing total moment for the structures above in their given order: 0.00; 0.00; 0.00; 0.00; 0.00; 0.00; 0.37; 0.00; 7.96; 0.00; 0.00; 0.00; 0.01; 0.00; 0.00; 1.34; 0.00; 3.06; 0.00; 0.00 μB per cell.